Density functional theory data (PBEsol) for Cd3CoS after structural relaxation.

Output
total magnetic moment = 1.20 μB per cell
E = -2.459 eV per atom
calculated volume = 113.35 Å³/f.u.
raw formation energy = 0.683 eV per atom

Cell lengths 4.840, 4.840, 4.840 Å; angles 90.00, 90.00, 90.00 degrees
Space group Pm-3m (No. 221)
Unique sites:
Cd1 0.000 0.000 0.500 [3 per cell]
Co1 0.000 0.000 0.000 [1 per cell]
S1 0.500 0.500 0.500 [1 per cell]

Density functional theory data (PBEsol) for Lu3Mg2Si3O12 after structural relaxation.

Output
total magnetic moment = 0.00 μB per cell
E = -8.061 eV per atom
calculated volume = 210.38 Å³/f.u.
raw formation energy = -3.147 eV per atom

Cell lengths 11.895, 11.895, 11.895 Å; angles 90.00, 90.00, 90.00 degrees
Space group Ia-3d (No. 230)
Unique sites:
Lu1 0.000 0.250 0.125 [24 per cell]
Mg1 0.000 0.000 0.000 [16 per cell]
Si1 0.000 0.250 0.375 [24 per cell]
O1 0.037 0.056 0.659 [96 per cell]